[1]
Cd3Ga5Br12 (PBE, relaxed); DOS(E_F) = 50.373 states/eV per cell; M_tot = 4.57 μB/cell; formation energy (no corrections) = -533 meV per atom
1.0
-13.540 -0.126 8.016
-2.597 -4.800 -14.759
10.288 -9.681 6.930
Cd Ga Br
12 20 48
direct
0.750 0.375 0.125
0.875 0.750 0.125
0.375 0.750 0.625
0.250 0.125 0.375
0.875 0.125 0.250
0.375 0.625 0.250
0.625 0.375 0.750
0.125 0.875 0.750
0.750 0.875 0.625
0.625 0.250 0.375
0.125 0.250 0.875
0.250 0.625 0.875
0.125 0.375 0.250
0.000 0.500 0.000
0.000 0.000 0.000
0.375 0.250 0.125
0.500 0.000 0.500
0.500 0.500 0.000
0.125 0.750 0.375
0.750 0.125 0.875
0.750 0.625 0.375
0.375 0.125 0.750
0.625 0.875 0.250
0.500 0.500 0.500
0.500 0.000 0.000
0.000 0.000 0.500
0.250 0.375 0.625
0.250 0.875 0.125
0.000 0.500 0.500
0.875 0.250 0.625
0.625 0.750 0.875
0.875 0.625 0.750
0.716 0.113 0.009
0.292 0.509 0.396
0.991 0.387 0.284
0.509 0.216 0.113
0.604 0.716 0.708
0.991 0.604 0.208
0.292 0.784 0.396
0.104 0.896 0.113
0.604 0.991 0.708
0.716 0.604 0.208
0.784 0.491 0.387
0.792 0.896 0.009
0.113 0.716 0.509
0.387 0.396 0.104
0.104 0.896 0.387
0.396 0.113 0.604
0.104 0.208 0.216
0.491 0.708 0.104
0.792 0.896 0.284
0.113 0.396 0.104
0.387 0.991 0.784
0.604 0.613 0.396
0.896 0.792 0.509
0.784 0.292 0.896
0.396 0.387 0.604
0.104 0.208 0.491
0.216 0.708 0.104
0.208 0.104 0.716
0.613 0.009 0.216
0.887 0.604 0.896
0.509 0.292 0.896
0.604 0.887 0.396
0.896 0.792 0.784
0.896 0.104 0.613
0.887 0.284 0.491
0.208 0.104 0.991
0.613 0.604 0.896
0.396 0.009 0.292
0.284 0.396 0.792
0.216 0.509 0.613
0.896 0.104 0.887
0.708 0.216 0.604
0.491 0.784 0.887
0.009 0.396 0.792
0.396 0.284 0.292
0.009 0.613 0.716
0.708 0.491 0.604
0.284 0.887 0.991

---

[2]
Cd2GaBr (PBE, relaxed); DOS(E_F) = 1.143 states/eV per cell; M_tot = 0.00 μB/cell; polymorph energy (0 for the lowest one) = 0 meV/atom; formation energy (no corrections) = -170 meV per atom
1.0
3.858 0.000 0.000
1.929 3.341 0.000
1.929 1.114 7.838
Ga Br Cd
1 1 2
direct
0.000 0.000 0.000
0.500 0.500 0.500
0.257 0.257 0.228
0.743 0.743 0.772

---

[3]
CdGaBr6 (PBE, relaxed); M_tot = 0.98 μB/cell; formation energy (no corrections) = -566 meV per atom
1.0
7.156 -0.795 -0.400
-3.400 6.347 -0.400
-1.074 -1.588 6.650
Cd Ga Br
1 1 6
direct
0.000 0.000 0.000
0.500 0.500 0.500
0.203 0.203 0.676
0.437 0.154 0.244
0.797 0.797 0.324
0.846 0.563 0.756
0.563 0.846 0.756
0.154 0.437 0.244